1.
First-principles (meta-GGA SCAN) data for IrAuBr2 at its PBEsol-relaxed geometry, as listed in Alexandria via LeMat-Bulk.

POSCAR file:
```
IrAuBr2
1.0
-3.1991 3.1438 -1.3998
-0.6547 -4.5724 -0.8870
-0.3438 1.6097 4.4009
Br Au Ir
2 1 1
direct
0.7500 0.5000 0.2500 Br
0.2500 0.5000 0.7500 Br
0.0000 0.0000 0.0000 Au
0.5000 0.0000 0.5000 Ir
```

polymorph energy (0 for the lowest one)	918	meV/atom
calculated volume	18.4	Å³/atom
magnetization	0.01	μB per formula unit
formation energy without anion corrections	1.247	eV per atom
density of states at the Fermi level	3.81	states/eV/cell

---

2.
First-principles (meta-GGA SCAN) data for Sc6CuTe2 at its PBEsol-relaxed geometry, as listed in Alexandria via LeMat-Bulk.

POSCAR file:
```
Sc6CuTe2
1.0
3.7575 0.0000 0.0000
0.0000 10.6027 0.0000
0.0000 0.0000 19.9258
Cu Sc Te
4 24 8
direct
0.7500 0.1381 0.0767 Cu
0.7500 0.3619 0.5767 Cu
0.2500 0.8619 0.9233 Cu
0.2500 0.6381 0.4233 Cu
0.7500 0.8095 0.3913 Sc
0.2500 0.7391 0.2683 Sc
0.2500 0.3803 0.4753 Sc
0.7500 0.9682 0.8435 Sc
0.7500 0.1122 0.4952 Sc
0.7500 0.6197 0.5247 Sc
0.2500 0.4399 0.8625 Sc
0.2500 0.8878 0.5048 Sc
0.2500 0.3095 0.1086 Sc
0.2500 0.6122 0.0048 Sc
0.2500 0.1197 0.9753 Sc
0.2500 0.0601 0.3625 Sc
0.7500 0.2391 0.2317 Sc
0.2500 0.4682 0.6565 Sc
0.2500 0.1905 0.6086 Sc
0.7500 0.8803 0.0247 Sc
0.7500 0.5601 0.1375 Sc
0.2500 0.7609 0.7683 Sc
0.7500 0.2609 0.7317 Sc
0.7500 0.5318 0.3435 Sc
0.7500 0.9399 0.6375 Sc
0.7500 0.3878 0.9952 Sc
0.2500 0.0318 0.1565 Sc
0.7500 0.6905 0.8914 Sc
0.2500 0.4564 0.2364 Te
0.2500 0.0436 0.7364 Te
0.2500 0.7686 0.1245 Te
0.7500 0.2314 0.8755 Te
0.2500 0.7314 0.6245 Te
0.7500 0.9564 0.2636 Te
0.7500 0.5436 0.7636 Te
0.7500 0.2686 0.3755 Te
```

calculated volume	22.1	Å³/atom
magnetization	0.00	μB per formula unit
formation energy without anion corrections	-0.671	eV per atom
density of states at the Fermi level	32.23	states/eV/cell

---

3.
First-principles (meta-GGA SCAN) data for Sn2TePb2 at its PBEsol-relaxed geometry, as listed in Alexandria via LeMat-Bulk.

POSCAR file:
```
Sn2TePb2
1.0
-4.1686 -0.2552 1.3598
1.2376 -2.6179 3.3025
2.5662 7.6946 2.2173
Pb Sn Te
2 2 1
direct
0.2500 0.7500 0.5000 Pb
0.7500 0.2500 0.5000 Pb
0.5931 0.5931 0.1862 Sn
0.4069 0.4069 0.8138 Sn
0.0000 0.0000 0.0000 Te
```

calculated volume	30.1	Å³/atom
magnetization	0.00	μB per formula unit
formation energy without anion corrections	0.160	eV per atom
density of states at the Fermi level	3.04	states/eV/cell

---

4.
First-principles (meta-GGA SCAN) data for AlZnCd2 at its PBEsol-relaxed geometry, as listed in Alexandria via LeMat-Bulk.

POSCAR file:
```
AlZnCd2
1.0
-1.3450 -2.2861 0.9579
2.9013 -0.0533 -0.2048
0.7580 3.6549 9.7872
Cd Zn Al
2 1 1
direct
0.5000 0.0000 0.2682 Cd
0.0000 0.0000 0.9909 Cd
0.0000 0.0000 0.5104 Zn
0.5000 0.0000 0.7305 Al
```

polymorph energy (0 for the lowest one)	40	meV/atom
calculated volume	18.8	Å³/atom
magnetization	0.00	μB per formula unit
density of states at the Fermi level	1.41	states/eV/cell
E_form	0.12	eV/atom

---

5.
First-principles (meta-GGA SCAN) data for BeCo2Si at its PBEsol-relaxed geometry, as listed in Alexandria via LeMat-Bulk.

POSCAR file:
```
BeCo2Si
1.0
-0.6270 0.1699 3.6941
0.5249 -3.0402 2.1330
2.8800 -0.1332 2.3991
Be Si Co
1 1 2
direct
0.0000 0.0000 0.0000 Be
0.5000 0.5000 0.5000 Si
0.7500 0.7500 0.7500 Co
0.2500 0.2500 0.2500 Co
```

polymorph energy (0 for the lowest one)	0	meV/atom
calculated volume	9.3	Å³/atom
magnetization	0.15	μB per formula unit
formation energy without anion corrections	-0.593	eV per atom
density of states at the Fermi level	1.25	states/eV/cell

---

6.
First-principles (meta-GGA SCAN) data for TiMnIO2 at its PBEsol-relaxed geometry, as listed in Alexandria via LeMat-Bulk.

POSCAR file:
```
TiMnIO2
1.0
-1.8697 1.6394 -2.9164
2.7885 -1.0822 -2.3961
-2.7437 -4.8848 -0.9868
O Ti I Mn
2 1 1 1
direct
0.0000 0.5000 0.0000 O
0.5000 0.0000 0.0000 O
0.0000 0.0000 0.0000 Ti
0.0000 0.0000 0.5000 I
0.5000 0.5000 0.5000 Mn
```

calculated volume	16.7	Å³/atom
magnetization	4.45	μB per formula unit
formation energy without anion corrections	-1.404	eV per atom
density of states at the Fermi level	1.88	states/eV/cell

---

7.
First-principles (meta-GGA SCAN) data for RbSmSe2O8 at its PBEsol-relaxed geometry, as listed in Alexandria via LeMat-Bulk.

POSCAR file:
```
RbSmSe2O8
1.0
7.2945 0.0000 0.0000
0.0000 9.1250 0.0485
0.0000 -0.1711 10.9835
Sm O Se Rb
4 32 8 4
direct
0.6654 0.0518 0.3472 Sm
0.3346 0.9482 0.6528 Sm
0.1654 0.9482 0.1528 Sm
0.8346 0.0518 0.8472 Sm
0.8403 0.8933 0.4717 O
0.7619 0.2868 0.4489 O
0.5338 0.4018 0.6307 O
0.3403 0.1067 0.0283 O
0.0048 0.9008 0.6942 O
0.6760 0.2270 0.1873 O
0.1577 0.3563 0.3959 O
0.6581 0.8786 0.6976 O
0.5048 0.0992 0.8058 O
0.3423 0.3563 0.8959 O
0.5384 0.1151 0.5490 O
0.4616 0.8849 0.4510 O
0.1597 0.1067 0.5283 O
0.6577 0.6437 0.1041 O
0.8240 0.2270 0.6873 O
0.1581 0.1214 0.8024 O
0.6597 0.8933 0.9717 O
0.8423 0.6437 0.6041 O
0.9616 0.1151 0.0490 O
0.7381 0.2868 0.9489 O
0.9662 0.4018 0.1307 O
0.4952 0.9008 0.1942 O
0.0338 0.5982 0.8693 O
0.3419 0.1214 0.3024 O
0.2381 0.7132 0.5511 O
0.3240 0.7730 0.8127 O
0.2619 0.7132 0.0511 O
0.4662 0.5982 0.3693 O
0.1760 0.7730 0.3127 O
0.8419 0.8786 0.1976 O
0.9952 0.0992 0.3058 O
0.0384 0.8849 0.9510 O
0.1621 0.7340 0.9152 Se
0.3366 0.1774 0.8903 Se
0.3379 0.7340 0.4152 Se
0.8366 0.8226 0.6097 Se
0.6621 0.2660 0.5848 Se
0.1634 0.1774 0.3903 Se
0.6634 0.8226 0.1097 Se
0.8379 0.2660 0.0848 Se
0.3545 0.4328 0.1585 Rb
0.1455 0.4328 0.6585 Rb
0.6455 0.5672 0.8415 Rb
0.8545 0.5672 0.3415 Rb
```

calculated volume	15.2	Å³/atom
magnetization	0.00	μB per formula unit
formation energy without anion corrections	-1.738	eV per atom
density of states at the Fermi level	0.00	states/eV/cell

---

8.
First-principles (meta-GGA SCAN) data for Fe3HgSe at its PBEsol-relaxed geometry, as listed in Alexandria via LeMat-Bulk.

POSCAR file:
```
Fe3HgSe
1.0
4.7612 0.0000 0.0000
0.0000 4.7612 0.0000
0.0000 0.0000 4.7612
Hg Fe Se
1 3 1
direct
0.0000 0.0000 0.0000 Hg
0.5000 0.0000 0.0000 Fe
0.0000 0.5000 0.0000 Fe
0.0000 0.0000 0.5000 Fe
0.5000 0.5000 0.5000 Se
```

calculated volume	21.6	Å³/atom
magnetization	10.05	μB per formula unit
formation energy without anion corrections	1.281	eV per atom
density of states at the Fermi level	4.38	states/eV/cell

---

9.
First-principles (meta-GGA SCAN) data for TaTeSe at its PBEsol-relaxed geometry, as listed in Alexandria via LeMat-Bulk.

POSCAR file:
```
TaTeSe
1.0
-0.3155 2.0344 -2.8649
-2.1164 -2.7905 0.4236
-4.3213 3.7544 3.1419
Ta Se Te
1 1 1
direct
0.3333 0.6667 0.6817 Ta
0.0000 0.0000 0.9264 Se
0.6667 0.3333 0.3919 Te
```

calculated volume	23.5	Å³/atom
magnetization	0.01	μB per formula unit
formation energy without anion corrections	-0.535	eV per atom
density of states at the Fermi level	1.80	states/eV/cell

---

10.
First-principles (meta-GGA SCAN) data for CdTe2Se at its PBEsol-relaxed geometry, as listed in Alexandria via LeMat-Bulk.

POSCAR file:
```
CdTe2Se
1.0
-0.6174 -2.2931 -3.3939
-2.9994 -2.8563 -0.0523
-5.7786 3.1304 -3.5916
Cd Te Se
1 2 1
direct
0.5000 0.5000 0.5000 Cd
0.2485 0.2485 0.2546 Te
0.7515 0.7515 0.7454 Te
0.0000 0.0000 0.0000 Se
```

calculated volume	26.4	Å³/atom
magnetization	0.00	μB per formula unit
formation energy without anion corrections	0.021	eV per atom
density of states at the Fermi level	2.83	states/eV/cell

---

11.
First-principles (meta-GGA SCAN) data for KAs2Ir at its PBEsol-relaxed geometry, as listed in Alexandria via LeMat-Bulk.

POSCAR file:
```
KAs2Ir
1.0
4.6305 0.0000 0.0000
2.3152 4.0101 0.0000
2.3152 1.3367 3.7808
K As Ir
1 2 1
direct
0.0000 0.0000 0.0000 K
0.2500 0.2500 0.2500 As
0.7500 0.7500 0.7500 As
0.5000 0.5000 0.5000 Ir
```

calculated volume	17.6	Å³/atom
magnetization	0.00	μB per formula unit
density of states at the Fermi level	1.15	states/eV/cell
E_form	0.26	eV/atom

---

12.
First-principles (meta-GGA SCAN) data for CaCr2W at its PBEsol-relaxed geometry, as listed in Alexandria via LeMat-Bulk.

POSCAR file:
```
CaCr2W
1.0
-0.9489 -2.1739 -1.4954
3.7830 -0.6877 -1.4008
1.3364 -3.1641 5.1624
Ca W Cr
1 1 2
direct
0.0000 0.5000 0.5000 Ca
0.5000 0.5000 0.0000 W
0.1592 0.0000 0.1551 Cr
0.8408 0.0000 0.8449 Cr
```

polymorph energy (0 for the lowest one)	0	meV/atom
calculated volume	17.7	Å³/atom
magnetization	0.00	μB per formula unit
density of states at the Fermi level	3.08	states/eV/cell
E_form	0.68	eV/atom

---

13.
First-principles (meta-GGA SCAN) data for Re4Pt5 at its PBEsol-relaxed geometry, as listed in Alexandria via LeMat-Bulk.

POSCAR file:
```
Re4Pt5
1.0
3.9142 0.0000 0.0000
1.9571 5.8346 0.0000
1.9571 0.0000 5.8346
Re Pt
4 5
direct
0.0000 0.3473 0.6527 Re
0.0000 0.6527 0.3473 Re
0.6527 0.3473 0.3473 Re
0.3473 0.6527 0.6527 Re
0.0000 0.0000 0.0000 Pt
0.3297 0.3406 0.0000 Pt
0.6703 0.6594 0.0000 Pt
0.3297 0.0000 0.3406 Pt
0.6703 0.0000 0.6594 Pt
```

calculated volume	14.8	Å³/atom
magnetization	0.00	μB per formula unit
density of states at the Fermi level	4.21	states/eV/cell
E_form	-0.16	eV/atom

---

14.
First-principles (meta-GGA SCAN) data for SrLaMgTaO6 at its PBEsol-relaxed geometry, as listed in Alexandria via LeMat-Bulk.

POSCAR file:
```
SrLaMgTaO6
1.0
-4.5246 -2.6708 1.9530
-1.8622 -0.7204 -5.2994
3.8919 -6.9042 -0.4291
O La Ta Sr Mg
12 2 2 2 2
direct
0.3000 0.5378 0.0443 O
0.2846 0.5457 0.4566 O
0.2260 0.0367 0.0352 O
0.4128 0.2672 0.7560 O
0.7846 0.4543 0.9566 O
0.2152 0.0213 0.4600 O
0.8000 0.4622 0.5443 O
0.9128 0.7328 0.2560 O
0.7152 0.9787 0.9600 O
0.7260 0.9633 0.5352 O
0.0662 0.7724 0.7441 O
0.5662 0.2276 0.2441 O
0.4907 0.7913 0.2525 La
0.9907 0.2087 0.7525 La
0.4995 0.2538 0.0004 Ta
0.9995 0.7462 0.5004 Ta
0.0056 0.2787 0.2503 Sr
0.5056 0.7213 0.7503 Sr
0.9993 0.7474 0.0006 Mg
0.4993 0.2526 0.5006 Mg
```

calculated volume	12.6	Å³/atom
magnetization	0.00	μB per formula unit
formation energy without anion corrections	-3.417	eV per atom
density of states at the Fermi level	0.00	states/eV/cell

---

15.
First-principles (meta-GGA SCAN) data for KBaCa2 at its PBEsol-relaxed geometry, as listed in Alexandria via LeMat-Bulk.

POSCAR file:
```
KBaCa2
1.0
4.0805 0.0000 0.0000
2.0403 3.5339 0.0000
2.0403 1.1780 13.8178
Ba Ca K
1 2 1
direct
0.7436 0.7436 0.7693 Ba
0.9967 0.9967 0.0100 Ca
0.2566 0.2566 0.2301 Ca
0.5031 0.5031 0.4906 K
```

polymorph energy (0 for the lowest one)	0	meV/atom
calculated volume	49.8	Å³/atom
magnetization	0.45	μB per formula unit
density of states at the Fermi level	4.00	states/eV/cell
E_form	0.10	eV/atom

---

16.
First-principles (meta-GGA SCAN) data for NiBrCl at its PBEsol-relaxed geometry, as listed in Alexandria via LeMat-Bulk.

POSCAR file:
```
NiBrCl
1.0
3.5104 0.0000 0.0000
-1.7552 3.0401 0.0000
0.0000 0.0000 5.9903
Cl Br Ni
1 1 1
direct
0.3333 0.6667 0.5511 Cl
0.0000 0.0000 0.1061 Br
0.6667 0.3333 0.3427 Ni
```

polymorph energy (0 for the lowest one)	0	meV/atom
calculated volume	21.3	Å³/atom
magnetization	2.00	μB per formula unit
formation energy without anion corrections	-0.878	eV per atom
density of states at the Fermi level	0.00	states/eV/cell

---

17.
First-principles (meta-GGA SCAN) data for Tl2Bi2I at its PBEsol-relaxed geometry, as listed in Alexandria via LeMat-Bulk.

POSCAR file:
```
Tl2Bi2I
1.0
-0.4177 3.4672 2.7161
-4.3481 -0.7595 0.3007
3.8137 -6.7372 5.5839
Bi Tl I
2 2 1
direct
0.2500 0.7500 0.5000 Bi
0.7500 0.2500 0.5000 Bi
0.4063 0.4063 0.8125 Tl
0.5937 0.5937 0.1875 Tl
0.0000 0.0000 0.0000 I
```

calculated volume	35.3	Å³/atom
magnetization	0.00	μB per formula unit
formation energy without anion corrections	-0.177	eV per atom
density of states at the Fermi level	1.45	states/eV/cell

---

18.
First-principles (meta-GGA SCAN) data for AgRu2Pb at its PBEsol-relaxed geometry, as listed in Alexandria via LeMat-Bulk.

POSCAR file:
```
AgRu2Pb
1.0
-0.0689 -0.8490 2.7775
2.1806 -1.5796 1.0906
5.1639 7.0913 3.8152
Ru Pb Ag
2 1 1
direct
0.7436 0.7436 0.7692 Ru
0.0090 0.0090 0.9730 Ru
0.2554 0.2554 0.2337 Pb
0.4920 0.4920 0.5241 Ag
```

calculated volume	17.2	Å³/atom
magnetization	0.00	μB per formula unit
density of states at the Fermi level	3.55	states/eV/cell
E_form	0.58	eV/atom

---

19.
First-principles (meta-GGA SCAN) data for CaLa2Cr at its PBEsol-relaxed geometry, as listed in Alexandria via LeMat-Bulk.

POSCAR file:
```
CaLa2Cr
1.0
3.6974 0.0000 0.1161
0.0000 3.6982 0.0000
-0.2846 0.0000 9.1821
La Cr Ca
2 1 1
direct
0.0000 0.0000 0.3116 La
0.0000 0.0000 0.6884 La
0.5000 0.5000 0.5000 Cr
0.5000 0.5000 0.0000 Ca
```

polymorph energy (0 for the lowest one)	0	meV/atom
calculated volume	31.4	Å³/atom
magnetization	3.23	μB per formula unit
density of states at the Fermi level	4.04	states/eV/cell
E_form	0.14	eV/atom

---

20.
First-principles (meta-GGA SCAN) data for La2TlAg at its PBEsol-relaxed geometry, as listed in Alexandria via LeMat-Bulk.

POSCAR file:
```
La2TlAg
1.0
3.8221 0.0000 0.0000
1.9110 3.3100 0.0000
1.9110 1.1033 9.4735
La Ag Tl
2 1 1
direct
0.7454 0.7454 0.7639 La
0.2546 0.2546 0.2361 La
0.0000 0.0000 0.0000 Ag
0.5000 0.5000 0.5000 Tl
```

polymorph energy (0 for the lowest one)	263	meV/atom
calculated volume	30.0	Å³/atom
magnetization	0.00	μB per formula unit
density of states at the Fermi level	4.09	states/eV/cell
E_form	-0.24	eV/atom